No. 1
DFT (PBE) results for an optimized crystal structure of EuGaIr.

Geometry as POSCAR:
```
EuGaIr
1.0
-1.631 1.631 5.630
1.631 -1.631 5.630
1.631 1.631 -5.630
Eu Ga Ir
1 1 1
direct
0.000 0.000 0.000
0.708 0.708 0.000
0.313 0.313 0.000
```

V ... 19.98 Å³/atom
Symmetry ... I4mm, No. 107
DFT formation energy ... -39.9 kJ/mol of atoms
Spin magnetization ... 6.91 μB per formula unit
Total DFT energy (no corrections) ... -7.8008 eV/atom



No. 2
DFT (PBE) results for an optimized crystal structure of EuGa3Ir.

Geometry as POSCAR:
```
EuGa3Ir
1.0
4.819 0.000 0.000
0.000 4.819 0.000
0.000 0.000 4.819
Eu Ga Ir
1 3 1
direct
0.000 0.000 0.000
0.000 0.500 0.500
0.500 0.000 0.500
0.500 0.500 0.000
0.500 0.500 0.500
```

V ... 22.38 Å³/atom
Symmetry ... Pm-3m, No. 221
DFT formation energy ... -39.7 kJ/mol of atoms
Spin magnetization ... 7.18 μB per formula unit
Total DFT energy (no corrections) ... -6.0544 eV/atom



- total DFT energy (no corrections) of number 1 (EuGaIr)?
  -7.8008 eV/atom